No. 1
## HoScAu4 (PBE)

Data for an optimized crystal structure of HoScAu4.

Unit cell a=3.635 b=3.635 c=8.912 alpha=90.00 beta=90.00 gamma=90.00
Fractional coordinates of all 6 atoms:
Au  0.500  0.500  0.671
Au  0.500  0.500  0.329
Sc  0.500  0.500  0.000
Au  0.000  0.000  0.158
Ho  0.000  0.000  0.500
Au  0.000  0.000  0.842

Results
The value obtained for the energy of formation from the pure elements is -837 meV per atom.

=====

No. 2
## HoScAu6 (PBE)

Data for an optimized crystal structure of HoScAu6.

Unit cell a=4.960 b=6.069 c=5.085 alpha=90.00 beta=90.00 gamma=90.00
Fractional coordinates of all 8 atoms:
Ho  0.000  0.500  0.840
Au  0.000  0.761  0.336
Au  0.000  0.239  0.336
Sc  0.500  0.000  0.153
Au  0.000  0.000  0.843
Au  0.500  0.245  0.662
Au  0.500  0.755  0.662
Au  0.500  0.500  0.168

Results
The value obtained for the energy of formation from the pure elements is -683 meV per atom.

=====

No. 3
## Ho2TmSc3Te2Au (PBE)

Data for an optimized crystal structure of Ho2TmSc3Te2Au.

Unit cell a=3.946 b=8.019 c=8.019 alpha=120.08 beta=90.00 gamma=90.00
Fractional coordinates of all 9 atoms:
Te  0.500  0.334  0.666
Sc  0.500  0.247  0.000
Ho  0.000  0.000  0.602
Au  0.000  0.003  0.003
Ho  0.000  0.602  0.000
Sc  0.500  0.753  0.753
Tm  0.000  0.396  0.396
Te  0.500  0.666  0.334
Sc  0.500  0.000  0.247

Results
The value obtained for the energy is -5.4741 eV/atom.

=====

No. 4
## Ho3AuSe6 (PBE)

Data for an optimized crystal structure of Ho3AuSe6.

Unit cell a=4.332 b=7.049 c=8.819 alpha=88.52 beta=78.40 gamma=82.53
Fractional coordinates of all 10 atoms:
Ho  0.000  0.000  0.500
Se  0.431  0.267  0.532
Se  0.844  0.331  0.900
Au  0.000  0.000  0.000
Se  0.201  0.162  0.207
Se  0.799  0.838  0.793
Se  0.569  0.733  0.468
Ho  0.648  0.447  0.230
Ho  0.352  0.553  0.770
Se  0.156  0.669  0.100

Results
The value obtained for the energy is -5.1350 eV/atom.